No. 1
The following is a DFT calculation (PBE) of a relaxed Co5Ni2Pt2 crystal.

- Total magnetization: 21.96 μB per cell
- V: 112.3 Å³/f.u.
- Crystal system: orthorhombic
- SG: Imma

a b c (Å): 8.718 8.718 8.718
angles (deg): 149.85 53.19 137.26
Element x y z (fractional)
Co  0.077  0.827  0.250
Co  0.137  0.000  0.637
Co  0.137  0.500  0.137
Co  0.261  0.104  0.157
Co  0.447  0.104  0.343
Co  0.553  0.896  0.657
Co  0.739  0.896  0.843
Co  0.863  0.000  0.363
Co  0.863  0.500  0.863
Co  0.923  0.173  0.750
Ni  0.159  0.588  0.571
Ni  0.484  0.412  0.071
Ni  0.516  0.588  0.929
Ni  0.841  0.412  0.429
Pt  0.000  0.000  0.000
Pt  0.312  0.562  0.750
Pt  0.500  0.000  0.500
Pt  0.688  0.438  0.250

***

No. 2
The following is a DFT calculation (PBE) of a relaxed KLa3Ta crystal.

- Total magnetization: 0.03 μB per cell
- V: 160.2 Å³/f.u.
- Crystal system: cubic
- SG: Pm-3m

a b c (Å): 5.431 5.431 5.431
angles (deg): 90.00 90.00 90.00
Element x y z (fractional)
K  0.000  0.000  0.000
La  0.000  0.000  0.500
La  0.000  0.500  0.000
La  0.500  0.000  0.000
Ta  0.500  0.500  0.500

***

Q: Which electronic total energy values were calculated for the entries above? A: -6.497 -3.857, in eV per atom.